No. 1
DFT (GGA-PBE) results for a relaxed structure of Dy3AsBr3.

```
Dy3AsBr3
1.0
-5.797 5.797 5.797
5.797 -5.797 5.797
5.797 5.797 -5.797
Dy As Br
12 4 12
Cartesian
1.602 1.449 -1.297
7.093 1.602 -1.449
1.449 -1.297 1.602
4.500 4.195 -1.449
4.195 1.449 1.297
-1.297 1.602 1.449
4.195 -1.449 4.500
1.449 1.297 4.195
1.297 4.195 1.449
1.602 -1.449 7.093
-1.449 7.093 1.602
-1.449 4.500 4.195
4.347 1.449 -1.449
1.449 1.449 1.449
1.449 -1.449 4.347
-1.449 4.347 1.449
7.246 1.395 1.503
7.246 -1.395 4.294
4.294 7.246 -1.395
4.401 1.503 4.347
4.347 4.401 1.503
1.503 7.246 1.395
7.192 4.294 4.347
1.503 4.347 4.401
1.395 1.503 7.246
4.347 7.192 4.294
-1.395 4.294 7.246
4.294 4.347 7.192
```

Values from the calculation:
- space group = No. 214
- total magnetization (Bohr magnetons per cell) = 0.00
- DOS(E_F) (states/eV per cell) = 7.838
- volume (A^3/atom) = 27.82
- DFT total energy (eV for the cell shown) = -135.8
- formation energy (no corrections) (kJ/mol of formula units) = -1010

=====

No. 2
DFT (GGA-PBE) results for a relaxed structure of Nb5RuRh4.

```
Nb5RuRh4
1.0
2.912 0.000 0.000
0.000 2.912 0.000
0.000 0.000 18.944
Nb Ru Rh
5 1 4
Cartesian
0.000 0.000 0.000
0.000 0.000 3.813
0.000 0.000 7.642
0.000 0.000 11.301
0.000 0.000 15.131
1.456 1.456 9.472
1.456 1.456 1.911
1.456 1.456 5.728
1.456 1.456 13.216
1.456 1.456 17.032
```

Values from the calculation:
- space group = No. 123
- total magnetization (Bohr magnetons per cell) = 0.00
- DOS(E_F) (states/eV per cell) = 9.175
- ΔE_f (eV per formula unit) = -3.60
- volume (A^3/atom) = 16.07
- DFT total energy (eV for the cell shown) = -92.6

=====

No. 3
DFT (GGA-PBE) results for a relaxed structure of Sc2CdSb.

```
Sc2CdSb
1.0
3.763 0.000 0.000
0.000 3.763 0.000
0.000 0.000 6.429
Sc Cd Sb
2 1 1
Cartesian
0.000 0.000 1.548
0.000 0.000 4.881
1.882 1.882 3.215
1.882 1.882 0.000
```

Values from the calculation:
- space group = No. 123
- total magnetization (Bohr magnetons per cell) = 0.91
- DOS(E_F) (states/eV per cell) = 2.391
- volume (A^3/atom) = 22.76
- DFT total energy (eV for the cell shown) = -19.8
- formation energy (no corrections) (kJ/mol of formula units) = -199

=====

No. 4
DFT (GGA-PBE) results for a relaxed structure of AcPm3Y6.

```
AcPm3Y6
1.0
4.843 -7.859 0.000
4.843 7.859 0.000
0.000 0.000 9.077
Ac Pm Y
2 6 12
Cartesian
4.843 4.340 4.538
4.843 -4.340 0.000
4.843 7.079 6.662
2.440 0.917 8.281
2.440 -0.917 3.742
7.246 0.917 8.281
7.246 -0.917 3.742
4.843 -7.079 2.124
1.682 2.256 5.322
3.129 2.308 2.193
4.843 3.335 7.939
1.682 -2.256 0.784
4.843 0.753 5.456
3.129 -2.308 6.731
6.556 2.308 2.193
4.843 -0.753 0.917
8.004 2.256 5.322
4.843 -3.335 3.400
6.556 -2.308 6.731
8.004 -2.256 0.784
```

Values from the calculation:
- space group = No. 36
- total magnetization (Bohr magnetons per cell) = 0.00
- DOS(E_F) (states/eV per cell) = 25.885
- ΔE_f (eV per formula unit) = 1.27
- volume (A^3/atom) = 34.54
- DFT total energy (eV for the cell shown) = -111.7

=====

No. 5
DFT (GGA-PBE) results for a relaxed structure of La4AsRu.

```
La4AsRu
1.0
4.690 -7.047 0.000
4.690 7.047 0.000
-4.637 0.000 5.631
La As Ru
8 2 2
Cartesian
-0.833 3.545 4.451
-1.392 0.085 4.400
0.927 -0.085 1.584
3.257 3.545 3.995
1.485 -3.545 1.635
3.816 0.085 4.046
6.134 -0.085 1.231
5.575 -3.545 1.180
3.530 1.756 1.408
1.212 -1.756 4.223
1.212 5.319 4.223
3.530 -5.319 1.408
```

Values from the calculation:
- space group = No. 15
- total magnetization (Bohr magnetons per cell) = 0.00
- DOS(E_F) (states/eV per cell) = 14.376
- ΔE_f (eV per formula unit) = -3.37
- volume (A^3/atom) = 31.02
- DFT total energy (eV for the cell shown) = -74.0

=====

No. 6
DFT (GGA-PBE) results for a relaxed structure of LiNpSn2S5.

```
LiNpSn2S5
1.0
1.982 -8.614 0.000
1.982 8.614 0.000
0.000 0.000 13.196
Li Np Sn S
2 2 4 10
Cartesian
1.982 7.602 6.598
1.982 -7.602 0.000
1.982 3.745 1.024
1.982 -3.745 7.622
1.982 1.770 9.112
1.982 1.634 4.202
1.982 -1.634 10.799
1.982 -1.770 2.514
1.982 8.499 4.308
1.982 6.352 0.730
1.982 5.148 5.974
1.982 4.506 9.370
1.982 1.185 1.477
1.982 -1.185 8.075
1.982 -4.506 2.772
1.982 -5.148 12.572
1.982 -6.352 7.327
1.982 -8.499 10.906
```

Values from the calculation:
- space group = No. 36
- total magnetization (Bohr magnetons per cell) = 4.05
- DOS(E_F) (states/eV per cell) = 12.492
- volume (A^3/atom) = 25.04
- DFT total energy (eV for the cell shown) = -101.7
- formation energy (no corrections) (kJ/mol of formula units) = -708